Below is an optimized crystal structure of LaZnSb2, with properties calculated at the PBE-GGA level.

Unit cell a=4.139 b=4.139 c=6.455 alpha=90.00 beta=90.00 gamma=90.00
Atoms (fractional coordinates):
La (0.000, 0.000, 0.000)
Zn (0.500, 0.500, 0.675)
Sb (0.000, 0.000, 0.512)
Sb (0.500, 0.500, 0.203)

## Properties
SG: No. 99
Crystal system: tetragonal


Below is an optimized crystal structure of La6ZnSb15, with properties calculated at the PBE-GGA level.

Unit cell a=12.779 b=12.779 c=4.344 alpha=99.76 beta=99.76 gamma=101.07
Atoms (fractional coordinates):
La (0.133, 0.867, 0.000)
La (0.136, 0.410, 0.273)
La (0.410, 0.136, 0.273)
La (0.459, 0.806, 0.132)
La (0.806, 0.459, 0.132)
La (0.867, 0.133, 0.000)
Zn (0.879, 0.879, 0.880)
Sb (0.047, 0.650, 0.350)
Sb (0.147, 0.147, 0.147)
Sb (0.216, 0.624, 0.919)
Sb (0.282, 0.282, 0.782)
Sb (0.336, 0.934, 0.635)
Sb (0.376, 0.593, 0.484)
Sb (0.521, 0.521, 0.019)
Sb (0.593, 0.376, 0.484)
Sb (0.624, 0.216, 0.919)
Sb (0.650, 0.047, 0.350)
Sb (0.667, 0.882, 0.775)
Sb (0.705, 0.705, 0.206)
Sb (0.882, 0.667, 0.775)
Sb (0.934, 0.336, 0.635)
Sb (0.986, 0.986, 0.487)

## Properties
SG: No. 8
Crystal system: monoclinic


Below is an optimized crystal structure of La2ZnSb, with properties calculated at the PBE-GGA level.

Unit cell a=5.240 b=5.240 c=4.177 alpha=90.00 beta=90.00 gamma=90.00
Atoms (fractional coordinates):
La (0.000, 0.500, 0.000)
La (0.500, 0.000, 0.000)
Zn (0.000, 0.000, 0.500)
Sb (0.500, 0.500, 0.500)

## Properties
SG: No. 123
Crystal system: tetragonal


Calculated V (Å³/cell), listed in the same order as above: 110.58, 670.89, 114.68
Calculated VASP energy (eV per cell), listed in the same order as above: -15.9, -108.9, -18.1
Calculated energy relative to the elements, uncorrected (eV/atom), listed in the same order as above: -0.376, -0.739, -0.702